4
Lattice="-2.0148 0.5660 4.8415 -1.9464 -4.2349 2.4692 4.1715 2.3557 -2.2067" Properties=species:S:1:pos:R:3 comment="MoAsRh2 | the Alexandria database | GGA-PBE | optimized geometry" formation_enthalpy_0k_ev_per_atom=-0.1352 dos_at_fermi_per_ev_atom=0.810 m_tot_mub_per_cell=0.00 pbc="T T T"
Rh -0.0252 -0.0234 0.0466
Rh 0.2251 0.6706 2.8920
Mo 0.0270 -1.9450 2.1347
As -1.9973 -1.8499 3.6862

---

8
Lattice="-0.7543 -4.5856 -3.2335 -0.9482 -3.1115 4.6338 -6.1433 -2.7396 0.3619" Properties=species:S:1:pos:R:3 comment="MoAs2Rh | the Alexandria database | GGA-PBE | optimized geometry" formation_enthalpy_0k_ev_per_atom=0.1903 dos_at_fermi_per_ev_atom=0.729 m_tot_mub_per_cell=1.06 pbc="T T T"
As -2.1310 -3.9713 -1.3734
As -2.2176 -3.1713 2.6046
As -5.2394 -4.9197 0.7648
As -6.1037 -8.8110 1.5285
Mo -0.8513 -3.8486 0.7002
Mo -3.9714 -4.8498 2.8479
Rh -3.8744 -5.5869 -1.0857
Rh 0.0000 0.0000 0.0000

---

3
Lattice="-2.8554 0.0395 -0.4434 1.6640 -1.8551 -1.4632 -0.7760 -4.3328 4.6108" Properties=species:S:1:pos:R:3 comment="MoAsRh | the Alexandria database | GGA-PBE | optimized geometry" formation_enthalpy_0k_ev_per_atom=-0.0079 dos_at_fermi_per_ev_atom=0.854 m_tot_mub_per_cell=0.00 pbc="T T T"
As -0.7742 -4.3229 4.6003
Rh -0.3601 -4.1140 1.9526
Mo -1.6090 -2.0443 0.7621

---

8
Lattice="5.5564 0.0000 0.0000 0.0000 5.5564 0.0000 2.7782 2.7782 5.5218" Properties=species:S:1:pos:R:3 comment="MoAsRh2 | the Alexandria database | GGA-PBE | optimized geometry" formation_enthalpy_0k_ev_per_atom=0.4414 dos_at_fermi_per_ev_atom=2.272 m_tot_mub_per_cell=0.00 pbc="T T T"
Rh 4.1673 4.2013 4.1413
Rh 6.9455 6.9116 4.1413
Rh 4.1334 1.3891 1.3804
Rh 1.4231 4.1673 1.3804
Mo 5.5564 2.7782 2.7609
Mo 0.0000 0.0000 0.0000
As 2.7782 2.7782 0.0000
As 2.7782 5.5564 2.7609